Entry 1:
This record from Alexandria via LeMat-Bulk describes an optimized crystal structure of PuNbH3. The functional is PBE.

Computed properties:
total energy = -35.12 eV for the cell shown
mass density = 10.27 Mg/m³
M_tot = 4.765 μB per formula unit

Geometry as CIF:
```
data_PuNbH3
_cell_length_a 3.802
_cell_length_b 3.802
_cell_length_c 3.802
_cell_angle_alpha 90.00
_cell_angle_beta 90.00
_cell_angle_gamma 90.00
_symmetry_space_group_name_H-M 'P 1'
_symmetry_Int_Tables_number 1
_symmetry_space_group_name_Hall 'P 1'
loop_
_atom_site_label
_atom_site_type_symbol
_atom_site_fract_x
_atom_site_fract_y
_atom_site_fract_z
Pu1 Pu 0.000 0.000 0.000
Nb1 Nb 0.500 0.500 0.500
H1 H 0.000 0.500 0.500
H2 H 0.500 0.000 0.500
H3 H 0.500 0.500 0.000
```

=====

Entry 2:
This record from Alexandria via LeMat-Bulk describes an optimized crystal structure of NaLi2H5Ru. The functional is PBE.

Computed properties:
total energy = -34.14 eV for the cell shown
mass density = 2.91 Mg/m³
M_tot = 0.000 μB per formula unit

Geometry as CIF:
```
data_NaLi2H5Ru
_cell_length_a 5.570
_cell_length_b 5.570
_cell_length_c 5.570
_cell_angle_alpha 144.01
_cell_angle_beta 125.44
_cell_angle_gamma 67.11
_symmetry_space_group_name_H-M 'P 1'
_symmetry_Int_Tables_number 1
_symmetry_space_group_name_Hall 'P 1'
loop_
_atom_site_label
_atom_site_type_symbol
_atom_site_fract_x
_atom_site_fract_y
_atom_site_fract_z
Na1 Na 0.000 0.000 0.000
Li1 Li 0.284 0.784 0.500
Li2 Li 0.716 0.216 0.500
H1 H 0.134 0.365 0.769
H2 H 0.403 0.635 0.769
H3 H 0.500 0.000 0.500
H4 H 0.597 0.365 0.231
H5 H 0.866 0.635 0.231
Ru1 Ru 0.500 0.500 0.000
```

=====

Entry 3:
This record from Alexandria via LeMat-Bulk describes an optimized crystal structure of In3SbTe. The functional is PBE.

Computed properties:
total energy = -14.17 eV for the cell shown
mass density = 5.16 Mg/m³
excess energy over the best structure of this formula in the dataset = 0 meV/atom
M_tot = 0.000 μB per formula unit

Geometry as CIF:
```
data_In3SbTe
_cell_length_a 5.760
_cell_length_b 5.760
_cell_length_c 5.760
_cell_angle_alpha 90.00
_cell_angle_beta 90.00
_cell_angle_gamma 90.00
_symmetry_space_group_name_H-M 'P 1'
_symmetry_Int_Tables_number 1
_symmetry_space_group_name_Hall 'P 1'
loop_
_atom_site_label
_atom_site_type_symbol
_atom_site_fract_x
_atom_site_fract_y
_atom_site_fract_z
In1 In 0.000 0.000 0.500
In2 In 0.000 0.500 0.000
In3 In 0.500 0.000 0.000
Sb1 Sb 0.000 0.000 0.000
Te1 Te 0.500 0.500 0.500
```

=====

Entry 4:
This record from Alexandria via LeMat-Bulk describes an optimized crystal structure of MgZn2Cl6. The functional is PBE.

Computed properties:
total energy = -54.83 eV for the cell shown
mass density = 2.23 Mg/m³
excess energy over the best structure of this formula in the dataset = 0 meV/atom
M_tot = 0.000 μB per formula unit

Geometry as CIF:
```
data_MgZn2Cl6
_cell_length_a 9.740
_cell_length_b 9.740
_cell_length_c 6.372
_cell_angle_alpha 107.31
_cell_angle_beta 107.31
_cell_angle_gamma 90.91
_symmetry_space_group_name_H-M 'P 1'
_symmetry_Int_Tables_number 1
_symmetry_space_group_name_Hall 'P 1'
loop_
_atom_site_label
_atom_site_type_symbol
_atom_site_fract_x
_atom_site_fract_y
_atom_site_fract_z
Mg1 Mg 0.225 0.775 0.750
Mg2 Mg 0.775 0.225 0.250
Zn1 Zn 0.190 0.346 0.633
Zn2 Zn 0.346 0.190 0.133
Zn3 Zn 0.654 0.810 0.867
Zn4 Zn 0.810 0.654 0.367
Cl1 Cl 0.028 0.775 0.424
Cl2 Cl 0.206 0.576 0.883
Cl3 Cl 0.222 0.368 0.300
Cl4 Cl 0.225 0.972 0.076
Cl5 Cl 0.368 0.222 0.800
Cl6 Cl 0.424 0.794 0.617
Cl7 Cl 0.576 0.206 0.383
Cl8 Cl 0.632 0.778 0.200
Cl9 Cl 0.775 0.028 0.924
Cl10 Cl 0.778 0.632 0.700
Cl11 Cl 0.794 0.424 0.117
Cl12 Cl 0.972 0.225 0.576
```

=====

Entry 5:
This record from Alexandria via LeMat-Bulk describes an optimized crystal structure of Cs4Cd3GaBr12. The functional is PBE.

Computed properties:
total energy = -53.32 eV for the cell shown
mass density = 4.52 Mg/m³
M_tot = 0.000 μB per formula unit

Geometry as CIF:
```
data_Cs4Cd3GaBr12
_cell_length_a 9.677
_cell_length_b 9.677
_cell_length_c 9.677
_cell_angle_alpha 109.47
_cell_angle_beta 109.47
_cell_angle_gamma 109.47
_symmetry_space_group_name_H-M 'P 1'
_symmetry_Int_Tables_number 1
_symmetry_space_group_name_Hall 'P 1'
loop_
_atom_site_label
_atom_site_type_symbol
_atom_site_fract_x
_atom_site_fract_y
_atom_site_fract_z
Cs1 Cs 0.000 0.000 0.500
Cs2 Cs 0.000 0.500 0.000
Cs3 Cs 0.500 0.000 0.000
Cs4 Cs 0.500 0.500 0.500
Cd1 Cd 0.000 0.500 0.500
Cd2 Cd 0.500 0.000 0.500
Cd3 Cd 0.500 0.500 0.000
Ga1 Ga 0.000 0.000 0.000
Br1 Br 0.000 0.243 0.243
Br2 Br 0.000 0.757 0.757
Br3 Br 0.243 0.000 0.243
Br4 Br 0.243 0.243 0.000
Br5 Br 0.250 0.500 0.750
Br6 Br 0.250 0.750 0.500
Br7 Br 0.500 0.250 0.750
Br8 Br 0.500 0.750 0.250
Br9 Br 0.750 0.250 0.500
Br10 Br 0.750 0.500 0.250
Br11 Br 0.757 0.000 0.757
Br12 Br 0.757 0.757 0.000
```

=====

Entry 6:
This record from Alexandria via LeMat-Bulk describes an optimized crystal structure of TaTl2Cl. The functional is PBE.

Computed properties:
total energy = -17.06 eV for the cell shown
mass density = 10.32 Mg/m³
excess energy over the best structure of this formula in the dataset = 436 meV/atom
M_tot = 1.103 μB per formula unit

Geometry as CIF:
```
data_TaTl2Cl
_cell_length_a 7.952
_cell_length_b 7.952
_cell_length_c 7.952
_cell_angle_alpha 158.09
_cell_angle_beta 147.52
_cell_angle_gamma 39.53
_symmetry_space_group_name_H-M 'P 1'
_symmetry_Int_Tables_number 1
_symmetry_space_group_name_Hall 'P 1'
loop_
_atom_site_label
_atom_site_type_symbol
_atom_site_fract_x
_atom_site_fract_y
_atom_site_fract_z
Ta1 Ta 0.000 0.000 0.000
Tl1 Tl 0.183 0.683 0.500
Tl2 Tl 0.817 0.317 0.500
Cl1 Cl 0.500 0.500 0.000
```

=====

Entry 7:
This record from Alexandria via LeMat-Bulk describes an optimized crystal structure of YOsAu2. The functional is PBE.

Computed properties:
total energy = -23.69 eV for the cell shown
mass density = 14.49 Mg/m³
excess energy over the best structure of this formula in the dataset = 278 meV/atom
M_tot = 0.758 μB per formula unit

Geometry as CIF:
```
data_YOsAu2
_cell_length_a 4.778
_cell_length_b 4.778
_cell_length_c 4.778
_cell_angle_alpha 60.00
_cell_angle_beta 60.00
_cell_angle_gamma 60.00
_symmetry_space_group_name_H-M 'P 1'
_symmetry_Int_Tables_number 1
_symmetry_space_group_name_Hall 'P 1'
loop_
_atom_site_label
_atom_site_type_symbol
_atom_site_fract_x
_atom_site_fract_y
_atom_site_fract_z
Y1 Y 0.000 0.000 0.000
Os1 Os 0.750 0.750 0.750
Au1 Au 0.250 0.250 0.250
Au2 Au 0.500 0.500 0.500
```

=====

Entry 8:
This record from Alexandria via LeMat-Bulk describes an optimized crystal structure of YGa8Pd2. The functional is PBE.

Computed properties:
total energy = -43.83 eV for the cell shown
mass density = 6.50 Mg/m³
M_tot = 0.000 μB per formula unit

Geometry as CIF:
```
data_YGa8Pd2
_cell_length_a 6.369
_cell_length_b 6.369
_cell_length_c 5.414
_cell_angle_alpha 90.00
_cell_angle_beta 90.00
_cell_angle_gamma 90.00
_symmetry_space_group_name_H-M 'P 1'
_symmetry_Int_Tables_number 1
_symmetry_space_group_name_Hall 'P 1'
loop_
_atom_site_label
_atom_site_type_symbol
_atom_site_fract_x
_atom_site_fract_y
_atom_site_fract_z
Y1 Y 0.000 0.000 0.000
Ga1 Ga 0.292 0.292 0.248
Ga2 Ga 0.292 0.292 0.752
Ga3 Ga 0.292 0.708 0.248
Ga4 Ga 0.292 0.708 0.752
Ga5 Ga 0.708 0.292 0.248
Ga6 Ga 0.708 0.292 0.752
Ga7 Ga 0.708 0.708 0.248
Ga8 Ga 0.708 0.708 0.752
Pd1 Pd 0.000 0.500 0.500
Pd2 Pd 0.500 0.000 0.500
```

=====

Entry 9:
This record from Alexandria via LeMat-Bulk describes an optimized crystal structure of LiRh4Pb. The functional is PBE.

Computed properties:
total energy = -34.60 eV for the cell shown
mass density = 10.30 Mg/m³
M_tot = 0.676 μB per formula unit

Geometry as CIF:
```
data_LiRh4Pb
_cell_length_a 5.226
_cell_length_b 5.226
_cell_length_c 5.226
_cell_angle_alpha 60.00
_cell_angle_beta 60.00
_cell_angle_gamma 60.00
_symmetry_space_group_name_H-M 'P 1'
_symmetry_Int_Tables_number 1
_symmetry_space_group_name_Hall 'P 1'
loop_
_atom_site_label
_atom_site_type_symbol
_atom_site_fract_x
_atom_site_fract_y
_atom_site_fract_z
Li1 Li 0.000 0.000 0.000
Rh1 Rh 0.375 0.375 0.375
Rh2 Rh 0.375 0.375 0.875
Rh3 Rh 0.375 0.875 0.375
Rh4 Rh 0.875 0.375 0.375
Pb1 Pb 0.750 0.750 0.750
```

=====

Entry 10:
This record from Alexandria via LeMat-Bulk describes an optimized crystal structure of La5Mg2Sn. The functional is PBE.

Computed properties:
total energy = -33.65 eV for the cell shown
mass density = 5.59 Mg/m³
M_tot = 0.000 μB per formula unit

Geometry as CIF:
```
data_La5Mg2Sn
_cell_length_a 6.940
_cell_length_b 6.940
_cell_length_c 6.940
_cell_angle_alpha 107.27
_cell_angle_beta 107.27
_cell_angle_gamma 113.98
_symmetry_space_group_name_H-M 'P 1'
_symmetry_Int_Tables_number 1
_symmetry_space_group_name_Hall 'P 1'
loop_
_atom_site_label
_atom_site_type_symbol
_atom_site_fract_x
_atom_site_fract_y
_atom_site_fract_z
La1 La 0.000 0.000 0.000
La2 La 0.499 0.499 0.500
La3 La 0.499 0.999 0.000
La4 La 0.999 0.499 0.000
La5 La 0.999 0.999 0.500
Mg1 Mg 0.499 0.999 0.500
Mg2 Mg 0.999 0.499 0.500
Sn1 Sn 0.499 0.499 0.000
```

=====

Entry 11:
This record from Alexandria via LeMat-Bulk describes an optimized crystal structure of Ac2ScPb. The functional is PBE.

Computed properties:
total energy = -18.53 eV for the cell shown
mass density = 8.31 Mg/m³
excess energy over the best structure of this formula in the dataset = 108 meV/atom
M_tot = 0.001 μB per formula unit

Geometry as CIF:
```
data_Ac2ScPb
_cell_length_a 5.844
_cell_length_b 5.844
_cell_length_c 5.844
_cell_angle_alpha 60.00
_cell_angle_beta 60.00
_cell_angle_gamma 60.00
_symmetry_space_group_name_H-M 'P 1'
_symmetry_Int_Tables_number 1
_symmetry_space_group_name_Hall 'P 1'
loop_
_atom_site_label
_atom_site_type_symbol
_atom_site_fract_x
_atom_site_fract_y
_atom_site_fract_z
Ac1 Ac 0.250 0.250 0.250
Ac2 Ac 0.750 0.750 0.750
Sc1 Sc 0.000 0.000 0.000
Pb1 Pb 0.500 0.500 0.500
```

=====

Entry 12:
This record from Alexandria via LeMat-Bulk describes an optimized crystal structure of HfNb3Pd. The functional is PBE.

Computed properties:
total energy = -36.94 eV for the cell shown
mass density = 8.12 Mg/m³
excess energy over the best structure of this formula in the dataset = 564 meV/atom
M_tot = 0.000 μB per formula unit

Geometry as CIF:
```
data_HfNb3Pd
_cell_length_a 4.866
_cell_length_b 4.866
_cell_length_c 4.866
_cell_angle_alpha 90.00
_cell_angle_beta 90.00
_cell_angle_gamma 90.00
_symmetry_space_group_name_H-M 'P 1'
_symmetry_Int_Tables_number 1
_symmetry_space_group_name_Hall 'P 1'
loop_
_atom_site_label
_atom_site_type_symbol
_atom_site_fract_x
_atom_site_fract_y
_atom_site_fract_z
Hf1 Hf 0.000 0.000 0.000
Nb1 Nb 0.000 0.000 0.500
Nb2 Nb 0.000 0.500 0.000
Nb3 Nb 0.500 0.000 0.000
Pd1 Pd 0.500 0.500 0.500
```

=====

Among the records above, which one has the lowest mass density?
MgZn2Cl6

=====

Number 8 is which compound?
YGa8Pd2